Compound: Pr4AgOs
Source: Alexandria
Functional: GGA-PBE
Structure: optimized geometry

Unit cell a=14.070 b=14.070 c=14.070 alpha=90.00 beta=90.00 gamma=90.00
Space group F-43m (No. 216)
Symmetry-distinct sites (fractional):
Pr  0.000  0.000  0.191 x24
Pr  0.058  0.250  0.250 x24
Pr  0.097  0.097  0.597 x16
Ag  0.170  0.170  0.830 x16
Os  0.112  0.112  0.388 x16

Results
- Offset from the most stable computed form: 0 meV/atom
- Theoretical density: 8.22 g cm⁻³
- E: -543.827 eV per cell
- Magnetic moment: 0.00 μB/f.u.
- Crystal system: cubic